Below is crystalline GePF2 at its relaxed geometry, with properties calculated at the PBE level.

a = 7.173 Å, b = 7.173 Å, c = 5.658 Å
α = 50.66°, β = 50.66°, γ = 90.00°
Fractional coordinates of all 8 atoms:
1 Ge 0.750 0.250 0.500
2 Ge 0.000 0.000 0.000
3 P 0.250 0.750 0.500
4 P 0.500 0.500 0.000
5 F 0.009 0.625 0.250
6 F 0.741 0.125 0.250
7 F 0.375 0.259 0.750
8 F 0.875 0.991 0.750

**Formation energy from raw total energies**: -0.654 eV/atom
**Total moment**: 0.00 μB/f.u.
**Mass density**: 3.65 g cm⁻³
**ΔE to the lowest computed polymorph**: 369.0 meV/atom


Below is crystalline SrAgSeF at its relaxed geometry, with properties calculated at the PBE level.

a = 4.211 Å, b = 4.211 Å, c = 9.367 Å
α = 90.00°, β = 90.00°, γ = 90.00°
Fractional coordinates of all 8 atoms:
1 Se 0.000 0.500 0.803
2 Se 0.500 0.000 0.197
3 Ag 0.000 0.000 0.000
4 Ag 0.500 0.500 0.000
5 F 0.500 0.500 0.500
6 F 0.000 0.000 0.500
7 Sr 0.500 0.000 0.649
8 Sr 0.000 0.500 0.351

**Formation energy from raw total energies**: -2.041 eV/atom
**Total moment**: 0.00 μB/f.u.
**Mass density**: 5.87 g cm⁻³


Below is crystalline TlCuPt at its relaxed geometry, with properties calculated at the PBE level.

a = 4.478 Å, b = 4.478 Å, c = 2.994 Å
α = 90.00°, β = 90.00°, γ = 120.00°
Fractional coordinates of all 3 atoms:
1 Tl 0.333 0.667 0.689
2 Cu 0.000 0.000 0.037
3 Pt 0.667 0.333 0.274

**Total moment**: 0.00 μB/f.u.
**Energy relative to the elements**: 140 meV/atom
**Mass density**: 14.79 g cm⁻³
**ΔE to the lowest computed polymorph**: 43.9 meV/atom


Below is crystalline Sm7Tm12Pb at its relaxed geometry, with properties calculated at the PBE level.

a = 11.121 Å, b = 9.328 Å, c = 6.120 Å
α = 90.18°, β = 100.25°, γ = 83.35°
Fractional coordinates of all 20 atoms:
1 Sm 0.101 0.698 0.708
2 Sm 0.252 0.751 0.257
3 Sm 0.500 0.500 0.500
4 Sm 0.748 0.249 0.743
5 Sm 0.899 0.302 0.292
6 Sm 0.298 0.099 0.101
7 Sm 0.702 0.901 0.899
8 Tm 0.146 0.050 0.553
9 Tm 0.445 0.149 0.650
10 Tm 0.597 0.200 0.200
11 Tm 0.403 0.800 0.800
12 Tm 0.802 0.597 0.594
13 Tm 0.555 0.851 0.350
14 Tm 0.198 0.403 0.406
15 Tm 0.348 0.449 0.951
16 Tm 0.951 0.651 0.152
17 Tm 0.049 0.349 0.848
18 Tm 0.854 0.950 0.447
19 Tm 0.652 0.551 0.049
20 Pb 0.000 0.000 0.000

**Total moment**: 0.00 μB/f.u.
**Energy relative to the elements**: -24 meV/atom
**Mass density**: 8.80 g cm⁻³